# KTa2Ni2 PBE optimized geometry
# Excess energy over the best structure of this formula in the dataset   379.3 meV/atom
# E_form   0.800 eV per atom
# Density   8.4 Mg/m³
data_KTa2Ni2
_cell_length_a 5.8591
_cell_length_b 5.8591
_cell_length_c 5.8591
_cell_angle_alpha 134.03
_cell_angle_beta 134.03
_cell_angle_gamma 67.04
_symmetry_space_group_name_H-M 'P 1'
_symmetry_Int_Tables_number 1
_symmetry_space_group_name_Hall 'P 1'
loop_
_atom_site_label
_atom_site_type_symbol
_atom_site_fract_x
_atom_site_fract_y
_atom_site_fract_z
K1 K 0.0000 0.0000 0.0000
Ta1 Ta 0.3506 0.3506 0.0000
Ta2 Ta 0.6494 0.6494 0.0000
Ni1 Ni 0.2500 0.7500 0.5000
Ni2 Ni 0.7500 0.2500 0.5000